Record 1
Computed, not measured: an optimized crystal structure of Na4Pa3S8 at the PBE level of DFT.

Cell: 8.558 8.558 8.558 Å, 56.35 56.35 56.35°
Positions (direct):
Na 0.000 0.000 0.000
Na 0.141 0.141 0.141
Na 0.500 0.500 0.500
Na 0.859 0.859 0.859
Pa 0.000 0.500 0.500
Pa 0.500 0.000 0.500
Pa 0.500 0.500 0.000
S 0.246 0.246 0.718
S 0.246 0.718 0.246
S 0.266 0.266 0.266
S 0.282 0.754 0.754
S 0.718 0.246 0.246
S 0.734 0.734 0.734
S 0.754 0.282 0.754
S 0.754 0.754 0.282

Formation energy without anion corrections ... -1.453 eV per atom
Spin magnetization ... 3.01 μB/cell
Space-group type ... R-3m (166)

Record 2
Computed, not measured: an optimized crystal structure of NaPaSb2S6 at the PBE level of DFT.

Cell: 7.118 7.123 7.543 Å, 90.06 118.09 119.97°
Positions (direct):
Na 0.000 0.000 0.000
Pa 0.969 0.485 0.454
Sb 0.614 0.308 0.922
Sb 0.623 0.812 0.435
S 0.052 0.847 0.662
S 0.063 0.671 0.173
S 0.457 0.610 0.662
S 0.502 0.392 0.174
S 0.780 0.109 0.173
S 0.815 0.205 0.663

Formation energy without anion corrections ... -0.840 eV per atom
Spin magnetization ... 0.00 μB/cell
Space-group type ... P1 (1)

Record 3
Computed, not measured: an optimized crystal structure of NaPaSbS4 at the PBE level of DFT.

Cell: 8.180 8.180 8.180 Å, 119.50 119.48 90.88°
Positions (direct):
Na 0.375 0.125 0.250
Na 0.625 0.875 0.750
Pa 0.000 0.500 0.500
Pa 0.500 0.500 0.000
Sb 0.000 0.000 0.500
Sb 0.000 0.500 0.000
S 0.211 0.735 0.476
S 0.240 0.270 0.530
S 0.240 0.710 0.970
S 0.241 0.265 0.976
S 0.759 0.735 0.024
S 0.760 0.290 0.030
S 0.760 0.730 0.470
S 0.789 0.265 0.524

Formation energy without anion corrections ... -1.045 eV per atom
Spin magnetization ... 1.96 μB/cell
Space-group type ... Imma (74)

> Number 3 is which compound?

NaPaSbS4

> Which value of spin magnetization does entry 1 give?

3.01 μB/cell

> The highest formation energy without anion corrections belongs to which entry?

NaPaSb2S6

Copy entry 2 word for word.
Computed, not measured: an optimized crystal structure of NaPaSb2S6 at the PBE level of DFT.

Cell: 7.118 7.123 7.543 Å, 90.06 118.09 119.97°
Positions (direct):
Na 0.000 0.000 0.000
Pa 0.969 0.485 0.454
Sb 0.614 0.308 0.922
Sb 0.623 0.812 0.435
S 0.052 0.847 0.662
S 0.063 0.671 0.173
S 0.457 0.610 0.662
S 0.502 0.392 0.174
S 0.780 0.109 0.173
S 0.815 0.205 0.663

Formation energy without anion corrections ... -0.840 eV per atom
Spin magnetization ... 0.00 μB/cell
Space-group type ... P1 (1)